Record 1
Here is a relaxed NaCr2BH crystal from the Alexandria database. Energies are from PBE.

Output
Symmetry: P4/mmm (123)

Cell and atoms, written as CIF:
```
data_NaCr2BH
_chemical_formula_sum 'Na1 Cr2 B1 H1'
_cell_length_a 3.571
_cell_length_b 3.571
_cell_length_c 3.911
_cell_angle_alpha 90.00
_cell_angle_beta 90.00
_cell_angle_gamma 90.00
_symmetry_space_group_name_H-M 'P 1'
_symmetry_Int_Tables_number 1
_symmetry_space_group_name_Hall 'P 1'
loop_
_atom_site_label
_atom_site_type_symbol
_atom_site_fract_x
_atom_site_fract_y
_atom_site_fract_z
_atom_site_occupancy
Na1 Na 0.000 0.000 0.000 1
Cr1 Cr 0.000 0.500 0.500 1
Cr2 Cr 0.500 0.000 0.500 1
B1 B 0.500 0.500 0.000 1
H1 H 0.000 0.000 0.500 1
```

Record 2
Here is a relaxed CrB2HPt crystal from the Alexandria database. Energies are from PBE.

Output
Symmetry: P4/mmm (123)

Cell and atoms, written as CIF:
```
data_CrB2HPt
_chemical_formula_sum 'Cr1 B2 H1 Pt1'
_cell_length_a 3.713
_cell_length_b 3.713
_cell_length_c 3.101
_cell_angle_alpha 90.00
_cell_angle_beta 90.00
_cell_angle_gamma 90.00
_symmetry_space_group_name_H-M 'P 1'
_symmetry_Int_Tables_number 1
_symmetry_space_group_name_Hall 'P 1'
loop_
_atom_site_label
_atom_site_type_symbol
_atom_site_fract_x
_atom_site_fract_y
_atom_site_fract_z
_atom_site_occupancy
Cr1 Cr 0.000 0.000 0.000 1
B1 B 0.000 0.500 0.500 1
B2 B 0.500 0.000 0.500 1
H1 H 0.000 0.000 0.500 1
Pt1 Pt 0.500 0.500 0.000 1
```

Record 3
Here is a relaxed Cr2BHRh crystal from the Alexandria database. Energies are from PBE.

Output
Symmetry: P4/mmm (123)

Cell and atoms, written as CIF:
```
data_Cr2BHRh
_chemical_formula_sum 'Cr2 B1 H1 Rh1'
_cell_length_a 3.359
_cell_length_b 3.359
_cell_length_c 4.133
_cell_angle_alpha 90.00
_cell_angle_beta 90.00
_cell_angle_gamma 90.00
_symmetry_space_group_name_H-M 'P 1'
_symmetry_Int_Tables_number 1
_symmetry_space_group_name_Hall 'P 1'
loop_
_atom_site_label
_atom_site_type_symbol
_atom_site_fract_x
_atom_site_fract_y
_atom_site_fract_z
_atom_site_occupancy
Cr1 Cr 0.000 0.500 0.000 1
Cr2 Cr 0.500 0.000 0.000 1
B1 B 0.000 0.000 0.500 1
H1 H 0.000 0.000 0.000 1
Rh1 Rh 0.500 0.500 0.500 1
```

Record 4
Here is a relaxed Cr2BHRh crystal from the Alexandria database. Energies are from PBE.

Output
Symmetry: P4/mmm (123)

Cell and atoms, written as CIF:
```
data_Cr2BHRh
_chemical_formula_sum 'Cr2 B1 H1 Rh1'
_cell_length_a 4.698
_cell_length_b 4.698
_cell_length_c 3.079
_cell_angle_alpha 90.00
_cell_angle_beta 90.00
_cell_angle_gamma 90.00
_symmetry_space_group_name_H-M 'P 1'
_symmetry_Int_Tables_number 1
_symmetry_space_group_name_Hall 'P 1'
loop_
_atom_site_label
_atom_site_type_symbol
_atom_site_fract_x
_atom_site_fract_y
_atom_site_fract_z
_atom_site_occupancy
Cr1 Cr 0.000 0.500 0.000 1
Cr2 Cr 0.500 0.000 0.000 1
B1 B 0.000 0.000 0.500 1
H1 H 0.500 0.500 0.500 1
Rh1 Rh 0.500 0.500 0.000 1
```

Record 5
Here is a relaxed CrB2HRu crystal from the Alexandria database. Energies are from PBE.

Output
Symmetry: P4/mmm (123)

Cell and atoms, written as CIF:
```
data_CrB2HRu
_chemical_formula_sum 'Cr1 B2 H1 Ru1'
_cell_length_a 3.676
_cell_length_b 3.676
_cell_length_c 3.091
_cell_angle_alpha 90.00
_cell_angle_beta 90.00
_cell_angle_gamma 90.00
_symmetry_space_group_name_H-M 'P 1'
_symmetry_Int_Tables_number 1
_symmetry_space_group_name_Hall 'P 1'
loop_
_atom_site_label
_atom_site_type_symbol
_atom_site_fract_x
_atom_site_fract_y
_atom_site_fract_z
_atom_site_occupancy
Cr1 Cr 0.000 0.000 0.000 1
B1 B 0.000 0.500 0.500 1
B2 B 0.500 0.000 0.500 1
H1 H 0.500 0.500 0.500 1
Ru1 Ru 0.500 0.500 0.000 1
```

Record 6
Here is a relaxed HfCrB crystal from the Alexandria database. Energies are from PBE.

Output
Symmetry: P1 (1)
Energy of formation from the pure elements in eV/atom: -0.213

Cell and atoms, written as CIF:
```
data_HfCrB
_chemical_formula_sum 'Hf2 Cr2 B2'
_cell_length_a 3.075
_cell_length_b 4.573
_cell_length_c 5.631
_cell_angle_alpha 81.08
_cell_angle_beta 78.24
_cell_angle_gamma 88.58
_symmetry_space_group_name_H-M 'P 1'
_symmetry_Int_Tables_number 1
_symmetry_space_group_name_Hall 'P 1'
loop_
_atom_site_label
_atom_site_type_symbol
_atom_site_fract_x
_atom_site_fract_y
_atom_site_fract_z
_atom_site_occupancy
Hf1 Hf 0.000 0.000 0.000 1
Hf2 Hf 0.452 0.459 0.202 1
Cr1 Cr 0.173 0.877 0.487 1
Cr2 Cr 0.680 0.287 0.632 1
B1 B 0.085 0.535 0.825 1
B2 B 0.594 0.739 0.761 1
```

Record 7
Here is a relaxed HfCrB3 crystal from the Alexandria database. Energies are from PBE.

Output
Symmetry: Cmcm (63)
Energy of formation from the pure elements in eV/atom: -0.706

Cell and atoms, written as CIF:
```
data_HfCrB3
_chemical_formula_sum 'Hf2 Cr2 B6'
_cell_length_a 9.411
_cell_length_b 9.411
_cell_length_c 3.057
_cell_angle_alpha 90.00
_cell_angle_beta 90.00
_cell_angle_gamma 159.49
_symmetry_space_group_name_H-M 'P 1'
_symmetry_Int_Tables_number 1
_symmetry_space_group_name_Hall 'P 1'
loop_
_atom_site_label
_atom_site_type_symbol
_atom_site_fract_x
_atom_site_fract_y
_atom_site_fract_z
_atom_site_occupancy
Hf1 Hf 0.075 0.925 0.750 1
Hf2 Hf 0.925 0.075 0.250 1
Cr1 Cr 0.206 0.794 0.250 1
Cr2 Cr 0.794 0.206 0.750 1
B1 B 0.324 0.676 0.250 1
B2 B 0.374 0.626 0.750 1
B3 B 0.475 0.525 0.750 1
B4 B 0.525 0.475 0.250 1
B5 B 0.626 0.374 0.250 1
B6 B 0.676 0.324 0.750 1
```

Record 8
Here is a relaxed HfCrB crystal from the Alexandria database. Energies are from PBE.

Output
Symmetry: Cm (8)
Energy of formation from the pure elements in eV/atom: -0.209

Cell and atoms, written as CIF:
```
data_HfCrB
_chemical_formula_sum 'Hf4 Cr4 B4'
_cell_length_a 8.613
_cell_length_b 3.098
_cell_length_c 6.941
_cell_angle_alpha 90.00
_cell_angle_beta 124.16
_cell_angle_gamma 90.00
_symmetry_space_group_name_H-M 'P 1'
_symmetry_Int_Tables_number 1
_symmetry_space_group_name_Hall 'P 1'
loop_
_atom_site_label
_atom_site_type_symbol
_atom_site_fract_x
_atom_site_fract_y
_atom_site_fract_z
_atom_site_occupancy
Hf1 Hf 0.000 0.000 0.000 1
Hf2 Hf 0.103 0.500 0.702 1
Hf3 Hf 0.500 0.500 0.000 1
Hf4 Hf 0.603 0.000 0.702 1
Cr1 Cr 0.276 0.500 0.420 1
Cr2 Cr 0.368 0.000 0.200 1
Cr3 Cr 0.776 0.000 0.420 1
Cr4 Cr 0.868 0.500 0.200 1
B1 B 0.066 0.000 0.411 1
B2 B 0.301 0.000 0.651 1
B3 B 0.566 0.500 0.411 1
B4 B 0.801 0.500 0.651 1
```

Record 9
Here is a relaxed HfCrB crystal from the Alexandria database. Energies are from PBE.

Output
Symmetry: Cm (8)
Energy of formation from the pure elements in eV/atom: -0.241

Cell and atoms, written as CIF:
```
data_HfCrB
_chemical_formula_sum 'Hf4 Cr4 B4'
_cell_length_a 7.835
_cell_length_b 4.860
_cell_length_c 5.541
_cell_angle_alpha 90.00
_cell_angle_beta 134.31
_cell_angle_gamma 90.00
_symmetry_space_group_name_H-M 'P 1'
_symmetry_Int_Tables_number 1
_symmetry_space_group_name_Hall 'P 1'
loop_
_atom_site_label
_atom_site_type_symbol
_atom_site_fract_x
_atom_site_fract_y
_atom_site_fract_z
_atom_site_occupancy
Hf1 Hf 0.000 0.000 0.000 1
Hf2 Hf 0.179 0.000 0.664 1
Hf3 Hf 0.500 0.500 0.000 1
Hf4 Hf 0.679 0.500 0.664 1
Cr1 Cr 0.041 0.500 0.719 1
Cr2 Cr 0.185 0.500 0.321 1
Cr3 Cr 0.541 0.000 0.719 1
Cr4 Cr 0.685 0.000 0.321 1
B1 B 0.368 0.184 0.211 1
B2 B 0.368 0.816 0.211 1
B3 B 0.868 0.316 0.211 1
B4 B 0.868 0.684 0.211 1
```

Record 10
Here is a relaxed HfCrB crystal from the Alexandria database. Energies are from PBE.

Output
Symmetry: P2_1/m (11)
Energy of formation from the pure elements in eV/atom: -0.433

Cell and atoms, written as CIF:
```
data_HfCrB
_chemical_formula_sum 'Hf2 Cr2 B2'
_cell_length_a 4.248
_cell_length_b 3.058
_cell_length_c 6.074
_cell_angle_alpha 90.00
_cell_angle_beta 99.99
_cell_angle_gamma 90.00
_symmetry_space_group_name_H-M 'P 1'
_symmetry_Int_Tables_number 1
_symmetry_space_group_name_Hall 'P 1'
loop_
_atom_site_label
_atom_site_type_symbol
_atom_site_fract_x
_atom_site_fract_y
_atom_site_fract_z
_atom_site_occupancy
Hf1 Hf 0.213 0.250 0.349 1
Hf2 Hf 0.787 0.750 0.651 1
Cr1 Cr 0.349 0.250 0.864 1
Cr2 Cr 0.651 0.750 0.136 1
B1 B 0.116 0.750 0.027 1
B2 B 0.884 0.250 0.973 1
```

Calculated values (μB per formula unit) of total magnetization for the records, taken in order: 1.508, 1.186, 0.000, 6.360, 0.001, 0.000, 0.914, 0.099, 0.000, 0.000.
Calculated values (eV per atom) of E for the records, taken in order: -5.21, -5.90, -7.02, -6.04, -6.44, -8.96, -8.63, -8.96, -8.99, -9.18.